1 | The following is a DFT calculation (PBE-GGA) of an optimized crystal structure of YTlBi2.

a = 4.3630 Å, b = 4.3630 Å, c = 24.9325 Å
α = 90.00°, β = 90.00°, γ = 120.00°
Positions (direct):
Y (0.0000, 0.0000, 0.0000)
Y (0.3333, 0.6667, 0.6667)
Y (0.6667, 0.3333, 0.3333)
Tl (0.0000, 0.0000, 0.5000)
Tl (0.3333, 0.6667, 0.1667)
Tl (0.6667, 0.3333, 0.8333)
Bi (0.0000, 0.0000, 0.2560)
Bi (0.0000, 0.0000, 0.7440)
Bi (0.3333, 0.6667, 0.4106)
Bi (0.3333, 0.6667, 0.9227)
Bi (0.6667, 0.3333, 0.0773)
Bi (0.6667, 0.3333, 0.5894)

Values from the calculation:
total moment = 0.00 μB/f.u.
SG = R-3m



2 | The following is a DFT calculation (PBE-GGA) of an optimized crystal structure of YTlBi2.

a = 7.1600 Å, b = 7.1600 Å, c = 13.7830 Å
α = 90.00°, β = 90.00°, γ = 90.00°
Positions (direct):
Y (0.0000, 0.0000, 0.0000)
Y (0.0000, 0.5000, 0.2500)
Y (0.5000, 0.0000, 0.7500)
Y (0.5000, 0.5000, 0.5000)
Tl (0.0000, 0.0000, 0.5000)
Tl (0.0000, 0.5000, 0.7500)
Tl (0.5000, 0.0000, 0.2500)
Tl (0.5000, 0.5000, 0.0000)
Bi (0.2438, 0.2500, 0.6250)
Bi (0.2500, 0.7438, 0.8750)
Bi (0.2500, 0.7562, 0.3750)
Bi (0.2562, 0.2500, 0.1250)
Bi (0.7438, 0.7500, 0.1250)
Bi (0.7500, 0.2438, 0.3750)
Bi (0.7500, 0.2562, 0.8750)
Bi (0.7562, 0.7500, 0.6250)

Values from the calculation:
total moment = 0.00 μB/f.u.
SG = I-42d



3 | The following is a DFT calculation (PBE-GGA) of an optimized crystal structure of YTlBi2.

a = 4.2214 Å, b = 4.2214 Å, c = 6.8618 Å
α = 90.00°, β = 90.00°, γ = 90.00°
Positions (direct):
Y (0.0000, 0.0000, 0.0000)
Tl (0.0000, 0.0000, 0.5000)
Bi (0.5000, 0.5000, 0.2308)
Bi (0.5000, 0.5000, 0.7692)

Values from the calculation:
total moment = 0.00 μB/f.u.
SG = P4/mmm



4 | The following is a DFT calculation (PBE-GGA) of an optimized crystal structure of YTlBi2.

a = 7.9112 Å, b = 7.9112 Å, c = 7.9112 Å
α = 90.00°, β = 90.00°, γ = 90.00°
Positions (direct):
Y (0.0000, 0.0000, 0.0000)
Y (0.0000, 0.5000, 0.5000)
Y (0.5000, 0.0000, 0.5000)
Y (0.5000, 0.5000, 0.0000)
Tl (0.0000, 0.0000, 0.5000)
Tl (0.0000, 0.5000, 0.0000)
Tl (0.5000, 0.0000, 0.0000)
Tl (0.5000, 0.5000, 0.5000)
Bi (0.2500, 0.2500, 0.2500)
Bi (0.2500, 0.2500, 0.7500)
Bi (0.2500, 0.7500, 0.2500)
Bi (0.2500, 0.7500, 0.7500)
Bi (0.7500, 0.2500, 0.2500)
Bi (0.7500, 0.2500, 0.7500)
Bi (0.7500, 0.7500, 0.2500)
Bi (0.7500, 0.7500, 0.7500)

Values from the calculation:
total moment = 0.00 μB/f.u.
SG = Fm-3m



The structure with the least stability is 2.



1 | The following is a DFT calculation (PBE-GGA) of an optimized crystal structure of Y3TlBi.

a = 5.6741 Å, b = 5.6741 Å, c = 5.6741 Å
α = 90.00°, β = 90.00°, γ = 90.00°
Positions (direct):
Y (0.0000, 0.0000, 0.5000)
Y (0.0000, 0.5000, 0.0000)
Y (0.5000, 0.0000, 0.0000)
Tl (0.0000, 0.0000, 0.0000)
Bi (0.5000, 0.5000, 0.5000)

Values from the calculation:
total moment = 0.00 μB/f.u.
SG = Pm-3m



2 | The following is a DFT calculation (PBE-GGA) of an optimized crystal structure of Y3TlBi.

a = 9.5868 Å, b = 9.5868 Å, c = 8.3571 Å
α = 105.86°, β = 105.86°, γ = 25.70°
Positions (direct):
Y (0.0727, 0.0727, 0.3491)
Y (0.1645, 0.1645, 0.9075)
Y (0.2874, 0.2874, 0.3917)
Y (0.7126, 0.7126, 0.6083)
Y (0.8355, 0.8355, 0.0925)
Y (0.9273, 0.9273, 0.6509)
Tl (0.4425, 0.4425, 0.3253)
Tl (0.5575, 0.5575, 0.6747)
Bi (0.3341, 0.3341, 0.8075)
Bi (0.6659, 0.6659, 0.1925)

Values from the calculation:
total moment = 0.35 μB/f.u.
SG = C2/m



The structure with the least stability is 1.